1.
An optimized crystal structure of Mo2Cl, computed with PBE.

Cell and atoms, written as extended XYZ:
```
3
Lattice="4.0825 0.0000 0.0000 2.0413 3.5356 0.0000 2.0413 1.1785 3.3334" Properties=species:S:1:pos:R:3 pbc="T T T"
Cl 0.0000 0.0000 0.0000
Mo 2.0413 1.1785 0.8333
Mo 6.1238 3.5356 2.5000
```

Values from the calculation:
For the energy above the most stable polymorph in this dataset, the calculation gives 4.24 eV per formula unit. The value obtained for the mass density is 7.8 Mg/m³. The magnetic moment is 0.0 μB per formula unit. Its symmetry is No. 225.

2.
An optimized crystal structure of MoCl4, computed with PBE.

Cell and atoms, written as extended XYZ:
```
5
Lattice="4.7694 0.0000 0.0000 0.0000 4.7694 0.0000 0.0000 0.0000 4.7694" Properties=species:S:1:pos:R:3 pbc="T T T"
Cl 2.3847 2.3847 0.0000
Cl 0.0000 0.0000 0.0000
Cl 0.0000 2.3847 2.3847
Cl 2.3847 0.0000 2.3847
Mo 2.3847 2.3847 2.3847
```

Values from the calculation:
The value obtained for the mass density is 3.6 Mg/m³. The magnetic moment is 0.5 μB per formula unit. Its symmetry is No. 221.

3.
An optimized crystal structure of MoCl5, computed with PBE.

Cell and atoms, written as extended XYZ:
```
6
Lattice="-2.2576 3.8189 2.3081 -2.2999 -2.3607 -3.7611 -3.2084 -4.9664 5.0792" Properties=species:S:1:pos:R:3 pbc="T T T"
Cl -3.8829 -1.7541 1.8131
Cl -2.2717 1.7590 0.2850
Cl -2.2858 -0.3008 -1.7380
Cl -2.7330 -0.5738 3.6936
Cl -2.7541 -3.6636 0.6590
Mo 0.0000 0.0000 0.0000
```

Values from the calculation:
For the energy above the most stable polymorph in this dataset, the calculation gives 7.32 eV per formula unit. The value obtained for the mass density is 2.7 Mg/m³. The magnetic moment is 3.8 μB per formula unit. Its symmetry is No. 191.

4.
An optimized crystal structure of MoCl, computed with PBE.

Cell and atoms, written as extended XYZ:
```
8
Lattice="5.1200 0.0000 0.0000 0.0000 5.1200 0.0000 0.0000 0.0000 5.1200" Properties=species:S:1:pos:R:3 pbc="T T T"
Mo 0.3939 0.3939 0.3939
Mo 2.9538 2.1661 4.7261
Mo 4.7261 2.9538 2.1661
Mo 2.1661 4.7261 2.9538
Cl 3.3881 4.2918 0.8281
Cl 1.7319 1.7319 1.7319
Cl 0.8281 3.3881 4.2918
Cl 4.2918 0.8281 3.3881
```

Values from the calculation:
For the energy above the most stable polymorph in this dataset, the calculation gives 2.10 eV per formula unit. The value obtained for the mass density is 6.5 Mg/m³. The magnetic moment is 0.0 μB per formula unit. Its symmetry is No. 198.

5.
An optimized crystal structure of Mo2N3Cl9, computed with PBE.

Cell and atoms, written as extended XYZ:
```
28
Lattice="-2.2838 0.8134 -7.1206 0.1702 -6.8342 3.1377 -16.1914 2.0906 5.4318" Properties=species:S:1:pos:R:3 pbc="T T T"
N -7.3898 -3.4145 1.9801
N -12.1436 1.5679 4.0739
N -16.3035 0.1800 1.2765
N -2.0015 -4.1102 0.1724
N -10.9152 -0.5157 -0.5311
N -4.0479 0.5226 1.3580
Mo -6.8187 -1.0447 -1.9054
Mo -14.0964 -2.5485 4.2300
Mo -4.2086 -1.3817 -2.7810
Mo -11.4863 -2.8856 3.3544
Cl -15.9088 -3.1673 2.9805
Cl -2.3961 -0.7629 -1.5316
Cl -10.9725 -3.8047 1.3245
Cl -8.2687 -2.7927 -1.6400
Cl -3.3324 -3.4301 -3.2960
Cl -5.2087 0.8041 -2.2106
Cl -7.3324 -0.1255 0.1244
Cl -9.9608 -4.1650 4.4790
Cl -13.1764 -1.5170 2.1824
Cl -13.0963 -4.7343 3.6595
Cl -14.9725 -0.5001 4.7450
Cl -3.4078 -0.4025 -4.6860
Cl -6.2037 -2.0303 -4.0856
Cl -10.0362 -1.1375 3.0890
Cl -8.3442 0.2348 -3.0300
Cl -5.1285 -2.4132 -0.7334
Cl -12.1013 -1.8999 5.5346
Cl -14.8971 -3.5277 6.1350
```

Values from the calculation:
The value obtained for the mass density is 2.2 Mg/m³. The magnetic moment is 10.1 μB per formula unit. Its symmetry is No. 194.

6.
An optimized crystal structure of MoN2Cl5, computed with PBE.

Cell and atoms, written as extended XYZ:
```
8
Lattice="-6.9123 -2.7536 1.9196 -2.0914 -6.5473 -1.5669 -1.1085 -3.4304 6.4318" Properties=species:S:1:pos:R:3 pbc="T T T"
Mo -8.2063 -8.9832 0.1319
N -3.0458 -5.5578 2.8324
N -6.4955 -6.9475 3.7911
Cl -2.0242 -2.8646 4.7785
Cl -5.5906 -4.4699 0.7103
Cl -8.4771 -10.0190 2.1077
Cl -1.8390 -4.2042 -0.7930
Cl -6.1865 -8.1798 -0.4234
```

Values from the calculation:
The value obtained for the mass density is 1.7 Mg/m³. The magnetic moment is 7.0 μB per formula unit. Its symmetry is No. 8.

7.
An optimized crystal structure of Mo3NCl, computed with PBE.

Cell and atoms, written as extended XYZ:
```
5
Lattice="-2.5673 -3.2022 -0.7333 2.8338 -2.6296 1.5613 -1.6617 0.4630 3.7957" Properties=species:S:1:pos:R:3 pbc="T T T"
Cl -0.6976 -2.6844 2.3118
Mo 1.4169 -1.3148 0.7807
Mo -0.8308 0.2315 1.8978
Mo -1.2837 -1.6011 -0.3667
N 0.0000 0.0000 0.0000
```

Values from the calculation:
For the energy above the most stable polymorph in this dataset, the calculation gives 0.00 eV per formula unit. The value obtained for the mass density is 7.7 Mg/m³. The magnetic moment is 0.0 μB per formula unit. Its symmetry is No. 221.

8.
An optimized crystal structure of MoN2Cl2, computed with PBE.

Cell and atoms, written as extended XYZ:
```
5
Lattice="-1.1936 1.9743 1.6703 -0.6301 -2.0062 1.9211 6.7369 1.3124 5.6915" Properties=species:S:1:pos:R:3 pbc="T T T"
N 2.5975 -0.3549 4.7042
N 2.3157 1.6354 4.5788
Cl 0.4414 0.2191 2.4850
Cl 4.4717 1.0614 6.7979
Mo 0.0000 0.0000 0.0000
```

Values from the calculation:
For the energy above the most stable polymorph in this dataset, the calculation gives 0.00 eV per formula unit. The value obtained for the mass density is 4.6 Mg/m³. The magnetic moment is 0.0 μB per formula unit. Its symmetry is No. 139.

9.
An optimized crystal structure of MoNCl3, computed with PBE.

Cell and atoms, written as extended XYZ:
```
5
Lattice="-3.6765 -2.2824 -1.9069 1.2969 -3.9588 2.2378 -2.6764 1.2168 3.7038" Properties=species:S:1:pos:R:3 pbc="T T T"
Cl -1.8382 -1.1412 -0.9534
Cl -1.3382 0.6084 1.8519
Cl 0.6485 -1.9794 1.1189
Mo 0.0000 0.0000 0.0000
N -2.5280 -2.5122 2.0173
```

Values from the calculation:
For the energy above the most stable polymorph in this dataset, the calculation gives 8.78 eV per formula unit. The value obtained for the mass density is 3.4 Mg/m³. The magnetic moment is 0.0 μB per formula unit. Its symmetry is No. 221.

10.
An optimized crystal structure of MoNCl3, computed with PBE.

Cell and atoms, written as extended XYZ:
```
5
Lattice="-4.2768 0.1578 -1.3289 0.7977 -3.2723 -2.9558 -1.0745 -3.0575 3.0949" Properties=species:S:1:pos:R:3 pbc="T T T"
N 0.0000 0.0000 0.0000
Cl -2.1384 0.0789 -0.6645
Cl 0.3989 -1.6362 -1.4779
Cl -0.5373 -1.5288 1.5475
Mo -2.2768 -3.0860 -0.5949
```

Values from the calculation:
For the energy above the most stable polymorph in this dataset, the calculation gives 9.89 eV per formula unit. The value obtained for the mass density is 4.0 Mg/m³. The magnetic moment is 4.4 μB per formula unit. Its symmetry is No. 221.

11.
An optimized crystal structure of MoNCl3, computed with PBE.

Cell and atoms, written as extended XYZ:
```
20
Lattice="8.3961 0.0566 0.0178 -2.7611 7.9881 0.0252 -3.0795 -2.6055 8.5191" Properties=species:S:1:pos:R:3 pbc="T T T"
Cl -0.6367 7.0768 1.2993
Cl -0.6347 0.0045 2.9689
Cl 0.0556 3.3643 0.9149
Cl 0.0076 -0.2395 7.9470
Cl 2.4999 2.0749 7.6471
Cl -1.6624 1.9244 5.9545
Cl 4.2179 3.5148 2.6075
Cl 3.1922 -1.6376 7.2628
Cl 3.7909 -0.0325 4.1213
Cl 3.1901 5.4347 5.5932
Cl 2.5478 5.6787 0.6150
Cl -1.2354 5.4717 4.4407
N 1.4462 4.6335 3.4018
N 1.1093 0.8057 5.1602
N 1.8339 1.8688 2.6260
N 0.7216 3.5704 5.9361
Mo 0.9162 5.1699 5.3969
Mo 2.0284 3.8780 1.9940
Mo 0.5271 1.5611 6.5681
Mo 1.6393 0.2692 3.1651
```

Values from the calculation:
For the energy above the most stable polymorph in this dataset, the calculation gives 0.00 eV per formula unit. The value obtained for the mass density is 2.5 Mg/m³. The magnetic moment is 0.0 μB per formula unit. Its symmetry is No. 2.

12.
An optimized crystal structure of MoN3Cl, computed with PBE.

Cell and atoms, written as extended XYZ:
```
5
Lattice="4.0299 0.0000 0.0000 0.0000 4.0299 0.0000 0.0000 0.0000 4.0299" Properties=species:S:1:pos:R:3 pbc="T T T"
N 2.0150 0.0000 0.0000
N 0.0000 2.0150 0.0000
N 0.0000 0.0000 2.0150
Mo 0.0000 0.0000 0.0000
Cl 2.0150 2.0150 2.0150
```

Values from the calculation:
The value obtained for the mass density is 4.4 Mg/m³. The magnetic moment is 2.0 μB per formula unit. Its symmetry is No. 221.

13.
An optimized crystal structure of Mo2NCl7, computed with PBE.

Cell and atoms, written as extended XYZ:
```
40
Lattice="-8.2986 0.1492 4.7328 1.4478 -9.9981 -2.4414 9.9829 2.0556 9.8042" Properties=species:S:1:pos:R:3 pbc="T T T"
Cl -4.1660 -4.6531 6.4596
Cl -0.8792 0.2561 6.1518
Cl 1.1796 -7.2855 1.5823
Cl -1.1128 -9.5436 0.6650
Cl 4.0113 -8.0494 5.9439
Cl 7.2981 -3.1402 5.6361
Cl 6.7503 -6.2138 4.0927
Cl -1.6940 0.8980 10.4831
Cl 1.7314 -6.1357 8.4236
Cl 8.5248 1.1915 8.5566
Cl 3.8027 -2.7971 12.1857
Cl 2.9721 -4.3994 4.9324
Cl 1.4008 -1.6576 3.6721
Cl -0.6706 -4.9962 -0.0900
Cl 0.1601 -3.3939 7.1632
Cl -5.3927 -8.9848 3.5391
Cl 4.7793 -3.9656 9.0539
Cl -0.4319 -6.6365 4.3605
Cl 8.7257 -5.8695 6.5513
Cl 4.2450 1.7503 11.4307
Cl -1.6471 -3.8277 3.0418
Cl 3.5640 -1.1568 7.7351
Cl 5.7626 -0.9986 10.1511
Cl -5.5935 -1.9239 5.5444
Cl 4.8262 -8.6913 1.6126
Cl 1.9526 -0.5079 10.5134
Cl -2.6305 -6.7947 1.9445
Cl -3.6181 -1.5795 8.0030
N -2.3189 -9.2134 3.5684
N 5.4510 1.4201 8.5273
N 1.1553 -4.4876 2.4452
N 1.9769 -3.3057 9.6504
Mo 3.9686 0.5396 9.5287
Mo 8.1340 -7.8790 5.1140
Mo -0.4822 -5.5693 2.1022
Mo 2.5603 -3.5841 2.8595
Mo 3.6143 -2.2240 9.9935
Mo 0.5719 -4.2092 9.2362
Mo -5.0018 0.0857 6.9817
Mo -0.8364 -8.3329 2.5670
```

Values from the calculation:
The value obtained for the mass density is 2.4 Mg/m³. The magnetic moment is 1.1 μB per formula unit. Its symmetry is No. 2.

14.
An optimized crystal structure of MoN2Cl4, computed with PBE.

Cell and atoms, written as extended XYZ:
```
7
Lattice="3.6385 0.0000 0.0000 0.0000 7.1350 -2.4258 0.0000 -0.8984 9.0942" Properties=species:S:1:pos:R:3 pbc="T T T"
N 1.8193 0.9063 4.5834
N 1.8193 4.3112 2.4322
Cl 1.8193 -0.4550 7.9017
Cl 0.0000 3.8338 5.5245
Cl 1.8193 5.6725 -0.8860
Cl 0.0000 1.3837 1.4912
Mo 0.0000 6.6255 -2.2522
```

Values from the calculation:
The value obtained for the mass density is 1.9 Mg/m³. The magnetic moment is 8.0 μB per formula unit. Its symmetry is No. 10.

15.
An optimized crystal structure of MoN3Cl, computed with PBE.

Cell and atoms, written as extended XYZ:
```
5
Lattice="-1.5657 -2.8231 -1.6751 2.5696 -2.2090 1.3210 -2.0428 -0.6148 2.9456" Properties=species:S:1:pos:R:3 pbc="T T T"
N 1.2848 -1.1045 0.6605
N -1.0214 -0.3074 1.4728
N -0.7829 -1.4115 -0.8376
Cl 0.0000 0.0000 0.0000
Mo -0.5195 -2.8234 1.2957
```

Values from the calculation:
The value obtained for the mass density is 6.0 Mg/m³. The magnetic moment is 0.0 μB per formula unit. Its symmetry is No. 221.

16.
An optimized crystal structure of MoNCl2, computed with PBE.

Cell and atoms, written as extended XYZ:
```
4
Lattice="7.3081 4.7304 5.2309 9.1348 3.0615 3.2137 7.9434 5.8863 2.3238" Properties=species:S:1:pos:R:3 pbc="T T T"
Cl 2.6946 1.5114 1.1899
Cl 21.6917 12.1668 9.5785
N 0.0000 0.0000 0.0000
Mo 12.1932 6.8391 5.3842
```

Values from the calculation:
For the energy above the most stable polymorph in this dataset, the calculation gives 4.66 eV per formula unit. The value obtained for the mass density is 3.4 Mg/m³. The magnetic moment is 2.7 μB per formula unit. Its symmetry is No. 166.

17.
An optimized crystal structure of MoN2Cl2, computed with PBE.

Cell and atoms, written as extended XYZ:
```
10
Lattice="6.4996 0.0000 0.0000 0.0000 6.4996 0.0000 0.0000 0.0000 3.5318" Properties=species:S:1:pos:R:3 pbc="T T T"
Cl 4.3249 1.0751 0.0000
Cl 2.1747 5.4245 0.0000
Cl 1.0751 2.1747 0.0000
Cl 5.4245 4.3249 0.0000
Mo 0.0000 0.0000 0.0000
Mo 3.2498 3.2498 0.0000
N 1.6021 1.6477 1.7659
N 1.6477 4.8975 1.7659
N 4.8519 1.6021 1.7659
N 4.8975 4.8519 1.7659
```

Values from the calculation:
For the energy above the most stable polymorph in this dataset, the calculation gives 1.48 eV per formula unit. The value obtained for the mass density is 4.3 Mg/m³. The magnetic moment is 1.7 μB per formula unit. Its symmetry is No. 127.

18.
An optimized crystal structure of MoNCl3, computed with PBE.

Cell and atoms, written as extended XYZ:
```
20
Lattice="6.9760 0.0000 0.7973 3.4880 6.4732 0.3986 -0.0226 0.0000 11.8456" Properties=species:S:1:pos:R:3 pbc="T T T"
Cl 4.6883 1.7745 7.6292
Cl 1.5162 0.7694 2.5508
Cl 5.4485 0.7694 4.1692
Cl 5.7531 4.6987 5.4122
Cl 4.9929 5.7038 8.8722
Cl 5.9782 1.2223 0.9011
Cl 8.1876 4.6987 2.1051
Cl 8.9252 5.7038 10.4907
Cl 4.4632 5.2509 12.1404
Cl 9.4549 5.2509 7.2225
Cl 2.2538 1.7745 10.9364
Cl 0.9865 1.2223 5.8190
N 2.9172 4.3298 3.6760
N 6.3939 2.1435 9.9974
N 4.0475 4.3298 3.0441
N 7.5242 2.1435 9.3655
Mo 0.4709 0.6365 10.0922
Mo 6.4712 0.6365 8.4735
Mo 9.9705 5.8367 2.9493
Mo 3.9702 5.8367 4.5680
```

Values from the calculation:
For the energy above the most stable polymorph in this dataset, the calculation gives 0.44 eV per formula unit. The value obtained for the mass density is 2.7 Mg/m³. The magnetic moment is 0.0 μB per formula unit. Its symmetry is No. 15.

19.
An optimized crystal structure of MoNCl2, computed with PBE.

Cell and atoms, written as extended XYZ:
```
8
Lattice="-8.2296 1.8485 -3.6282 -2.5059 -8.7477 1.2271 -6.0374 -3.0136 0.5405" Properties=species:S:1:pos:R:3 pbc="T T T"
Cl -11.0606 -4.4271 -2.6184
Cl -8.1662 -3.4940 -0.6849
Cl -8.2393 -0.4056 -2.5404
Cl -11.8034 -0.9026 -2.7329
Mo -9.8174 -2.3073 -2.1441
Mo 0.0000 0.0000 0.0000
N -6.9555 -7.6054 0.2835
N -5.3677 -3.4496 -1.2006
```

Values from the calculation:
For the energy above the most stable polymorph in this dataset, the calculation gives 0.00 eV per formula unit. The value obtained for the mass density is 3.7 Mg/m³. The magnetic moment is 1.0 μB per formula unit. Its symmetry is No. 122.

20.
An optimized crystal structure of MoNCl2, computed with PBE.

Cell and atoms, written as extended XYZ:
```
4
Lattice="-1.2240 -3.7800 -1.4874 1.0860 -3.5444 2.0633 -2.9508 -2.2392 2.0684" Properties=species:S:1:pos:R:3 pbc="T T T"
Cl -0.7722 -2.3909 0.6611
Cl -2.3166 -7.1727 1.9832
N 0.0000 0.0000 0.0000
Mo -1.5444 -4.7818 1.3221
```

Values from the calculation:
For the energy above the most stable polymorph in this dataset, the calculation gives 6.12 eV per formula unit. The value obtained for the mass density is 5.6 Mg/m³. The magnetic moment is 0.0 μB per formula unit. Its symmetry is No. 225.

Energy relative to the elements, uncorrected
In order: 1.39; -0.26; 0.42; 0.64; 0.46; 0.71; 0.59; 1.58; 1.10; 1.32; -0.66; 1.20; -0.78; 0.93; 2.52; 0.97; 1.87; -0.57; -0.19; 1.34
Unit: eV per atom